Record 1
VASP calculation (PBE) on crystalline Ac2PmHg4 at its relaxed geometry.

Summary:
Formation energy from the elements in eV/atom: -0.36
Crystal system: trigonal
Density of states at the Fermi level in states/eV/atom: 0.93
Calculated volume in A^3/atom: 33.96
ρ in Mg/m³: 9.79

```
data_Ac2PmHg4
_symmetry_space_group_name_H-M 'R -3 m'
_symmetry_Int_Tables_number 166
_symmetry_space_group_name_Hall '-R 3 2"'
_cell_length_a 5.1776
_cell_length_b 5.1776
_cell_length_c 30.7152
_cell_angle_alpha 90.00
_cell_angle_beta 90.00
_cell_angle_gamma 120.00
loop_
_atom_site_label
_atom_site_fract_x
_atom_site_fract_y
_atom_site_fract_z
Ac1 0.0000 0.0000 0.2455
Pm1 0.0000 0.0000 0.0000
Hg1 0.0000 0.0000 0.1374
Hg2 0.0000 0.0000 0.3657
```

=====

Record 2
VASP calculation (PBE) on crystalline Zn2GaCl at its relaxed geometry.

Summary:
Crystal system: cubic
Density of states at the Fermi level in states/eV/atom: 0.13
Formation energy from raw total energies in eV/f.u.: 0.462
Calculated volume in A^3/atom: 21.42
ρ in Mg/m³: 4.57

```
data_Zn2GaCl
_symmetry_space_group_name_H-M 'F m -3 m'
_symmetry_Int_Tables_number 225
_symmetry_space_group_name_Hall '-F 4 2 3'
_cell_length_a 6.998
_cell_length_b 6.998
_cell_length_c 6.998
_cell_angle_alpha 90.00
_cell_angle_beta 90.00
_cell_angle_gamma 90.00
loop_
_atom_site_label
_atom_site_fract_x
_atom_site_fract_y
_atom_site_fract_z
Zn1 0.250 0.250 0.250
Ga1 0.000 0.000 0.000
Cl1 0.000 0.000 0.500
```

=====

Record 3
VASP calculation (PBE) on crystalline Rb4Ce3InS8 at its relaxed geometry.

Summary:
Crystal system: trigonal
Density of states at the Fermi level in states/eV/atom: 0.97
Formation energy from raw total energies in eV/f.u.: -24.454
Calculated volume in A^3/atom: 29.48
ρ in Mg/m³: 3.99

```
data_Rb4Ce3InS8
_symmetry_space_group_name_H-M 'R -3 m'
_symmetry_Int_Tables_number 166
_symmetry_space_group_name_Hall '-R 3 2"'
_cell_length_a 8.4532
_cell_length_b 8.4532
_cell_length_c 22.8669
_cell_angle_alpha 90.00
_cell_angle_beta 90.00
_cell_angle_gamma 120.00
loop_
_atom_site_label
_atom_site_fract_x
_atom_site_fract_y
_atom_site_fract_z
Rb1 0.0000 0.0000 0.0000
Rb2 0.0000 0.5000 0.0000
Ce1 0.0000 0.5000 0.5000
In1 0.0000 0.0000 0.5000
S1 0.0000 0.0000 0.2321
S2 0.0054 0.5027 0.7694
```

=====

Record 4
VASP calculation (PBE) on crystalline Er3ScRh3 at its relaxed geometry.

Summary:
Formation energy from the elements in eV/atom: -0.78
Crystal system: orthorhombic
Density of states at the Fermi level in states/eV/atom: 0.47
Calculated volume in A^3/atom: 21.42
ρ in Mg/m³: 9.47

```
data_Er3ScRh3
_symmetry_space_group_name_H-M 'C m m m'
_symmetry_Int_Tables_number 65
_symmetry_space_group_name_Hall '-C 2 2'
_cell_length_a 9.376
_cell_length_b 9.807
_cell_length_c 6.523
_cell_angle_alpha 90.00
_cell_angle_beta 90.00
_cell_angle_gamma 90.00
loop_
_atom_site_label
_atom_site_fract_x
_atom_site_fract_y
_atom_site_fract_z
Er1 0.000 0.249 0.000
Er2 0.229 0.500 0.500
Er3 0.246 0.000 0.000
Sc1 0.000 0.222 0.500
Rh1 0.000 0.000 0.254
Rh2 0.250 0.250 0.258
```

=====

Record 5
VASP calculation (PBE) on crystalline SmTiGa4 at its relaxed geometry.

Summary:
Formation energy from the elements in eV/atom: -0.37
Crystal system: cubic
Density of states at the Fermi level in states/eV/atom: 0.52
Calculated volume in A^3/atom: 18.28
ρ in Mg/m³: 7.22

```
data_SmTiGa4
_symmetry_space_group_name_H-M 'F -4 3 m'
_symmetry_Int_Tables_number 216
_symmetry_space_group_name_Hall 'F -4 2 3'
_cell_length_a 7.599
_cell_length_b 7.599
_cell_length_c 7.599
_cell_angle_alpha 90.00
_cell_angle_beta 90.00
_cell_angle_gamma 90.00
loop_
_atom_site_label
_atom_site_fract_x
_atom_site_fract_y
_atom_site_fract_z
Sm1 0.000 0.000 0.000
Ti1 0.250 0.250 0.750
Ga1 0.124 0.124 0.376
```

=====

Record 6
VASP calculation (PBE) on crystalline DyScPt at its relaxed geometry.

Summary:
Formation energy from the elements in eV/atom: -0.81
Crystal system: orthorhombic
Density of states at the Fermi level in states/eV/atom: 1.26
Calculated volume in A^3/atom: 22.91
ρ in Mg/m³: 9.72

```
data_DyScPt
_symmetry_space_group_name_H-M 'C m c m'
_symmetry_Int_Tables_number 63
_symmetry_space_group_name_Hall '-C 2c 2'
_cell_length_a 4.093
_cell_length_b 9.691
_cell_length_c 6.932
_cell_angle_alpha 90.00
_cell_angle_beta 90.00
_cell_angle_gamma 90.00
loop_
_atom_site_label
_atom_site_fract_x
_atom_site_fract_y
_atom_site_fract_z
Dy1 0.000 0.000 0.000
Sc1 0.000 0.302 0.250
Pt1 0.000 0.374 0.750
```

=====

Record 7
VASP calculation (PBE) on crystalline NaSeF5 at its relaxed geometry.

Summary:
Crystal system: monoclinic
Density of states at the Fermi level in states/eV/atom: 0.00
Formation energy from raw total energies in eV/f.u.: -13.953
Calculated volume in A^3/atom: 16.03
ρ in Mg/m³: 2.91

```
data_NaSeF5
_symmetry_space_group_name_H-M 'C 1 2/c 1'
_symmetry_Int_Tables_number 15
_cell_length_a 9.271
_cell_length_b 6.615
_cell_length_c 8.146
_cell_angle_alpha 90.00
_cell_angle_beta 116.06
_cell_angle_gamma 90.00
loop_
_symmetry_equiv_pos_as_xyz
'x,y,z'
'-x,-y,-z'
'-x,y,-z+1/2'
'x,-y,z+1/2'
'x+1/2,y+1/2,z'
'-x+1/2,-y+1/2,-z'
'-x+1/2,y+1/2,-z+1/2'
'x+1/2,-y+1/2,z+1/2'
loop_
_atom_site_label
_atom_site_fract_x
_atom_site_fract_y
_atom_site_fract_z
Na1 0.000 0.026 0.250
Se1 0.000 0.500 0.000
F1 0.000 0.433 0.250
F2 0.017 0.213 0.975
F3 0.227 0.477 0.617
```

=====

Record 8
VASP calculation (PBE) on crystalline Ce4Nd2Te3N2 at its relaxed geometry.

Summary:
Crystal system: tetragonal
Density of states at the Fermi level in states/eV/atom: 1.87
Formation energy from raw total energies in eV/f.u.: -13.165
Calculated volume in A^3/atom: 26.20
ρ in Mg/m³: 7.26

```
data_Ce4Nd2Te3N2
_symmetry_space_group_name_H-M 'I 4/m m m'
_symmetry_Int_Tables_number 139
_symmetry_space_group_name_Hall '-I 4 2'
_cell_length_a 4.638
_cell_length_b 4.638
_cell_length_c 26.789
_cell_angle_alpha 90.00
_cell_angle_beta 90.00
_cell_angle_gamma 90.00
loop_
_atom_site_label
_atom_site_fract_x
_atom_site_fract_y
_atom_site_fract_z
Ce1 0.000 0.500 0.086
Nd1 0.000 0.000 0.198
Te1 0.000 0.000 0.322
Te2 0.000 0.000 0.500
N1 0.000 0.000 0.106
```

=====

Record 9
VASP calculation (PBE) on crystalline Pu2Co3Ge4Pt at its relaxed geometry.

Summary:
Formation energy from the elements in eV/atom: -0.47
Crystal system: tetragonal
Density of states at the Fermi level in states/eV/atom: 2.75
Calculated volume in A^3/atom: 16.59
ρ in Mg/m³: 11.51

```
data_Pu2Co3Ge4Pt
_symmetry_space_group_name_H-M 'P -4 m 2'
_symmetry_Int_Tables_number 115
_cell_length_a 4.078
_cell_length_b 4.078
_cell_length_c 9.975
_cell_angle_alpha 90.00
_cell_angle_beta 90.00
_cell_angle_gamma 90.00
loop_
_symmetry_equiv_pos_as_xyz
'x,y,z'
'y,-x,-z'
'-x,-y,z'
'-y,x,-z'
'-x,y,z'
'-y,-x,-z'
'x,-y,z'
'y,x,-z'
loop_
_atom_site_label
_atom_site_fract_x
_atom_site_fract_y
_atom_site_fract_z
Pu1 0.000 0.500 0.238
Co1 0.000 0.500 0.875
Co2 0.500 0.500 0.500
Ge1 0.000 0.000 0.000
Ge2 0.000 0.500 0.643
Ge3 0.500 0.500 0.000
Pt1 0.000 0.000 0.500
```

=====

Record 10
VASP calculation (PBE) on crystalline Pu3TlTc at its relaxed geometry.

Summary:
Formation energy from the elements in eV/atom: 0.50
Crystal system: hexagonal
Density of states at the Fermi level in states/eV/atom: 2.00
Calculated volume in A^3/atom: 21.06
ρ in Mg/m³: 16.31

```
data_Pu3TlTc
_symmetry_space_group_name_H-M 'P -6 m 2'
_symmetry_Int_Tables_number 187
_symmetry_space_group_name_Hall 'P -6 2'
_cell_length_a 6.2454
_cell_length_b 6.2454
_cell_length_c 3.1174
_cell_angle_alpha 90.00
_cell_angle_beta 90.00
_cell_angle_gamma 120.00
loop_
_atom_site_label
_atom_site_fract_x
_atom_site_fract_y
_atom_site_fract_z
Pu1 0.0817 0.5409 0.0000
Tl1 0.0000 0.0000 0.5000
Tc1 0.6667 0.3333 0.5000
```

=====

Record 11
VASP calculation (PBE) on crystalline Zr2CoSi2 at its relaxed geometry.

Summary:
Crystal system: tetragonal
Density of states at the Fermi level in states/eV/atom: 0.50
Formation energy from raw total energies in eV/f.u.: -1.134
Calculated volume in A^3/atom: 17.54
ρ in Mg/m³: 5.63

```
data_Zr2CoSi2
_symmetry_space_group_name_H-M 'I 4/m m m'
_symmetry_Int_Tables_number 139
_symmetry_space_group_name_Hall '-I 4 2'
_cell_length_a 3.370
_cell_length_b 3.370
_cell_length_c 15.445
_cell_angle_alpha 90.00
_cell_angle_beta 90.00
_cell_angle_gamma 90.00
loop_
_atom_site_label
_atom_site_fract_x
_atom_site_fract_y
_atom_site_fract_z
Zr1 0.000 0.000 0.104
Co1 0.000 0.000 0.500
Si1 0.000 0.500 0.250
```

=====

Record 12
VASP calculation (PBE) on crystalline NpIn2GaCl6 at its relaxed geometry.

Summary:
Crystal system: trigonal
Density of states at the Fermi level in states/eV/atom: 0.56
Formation energy from raw total energies in eV/f.u.: -11.555
Calculated volume in A^3/atom: 34.27
ρ in Mg/m³: 3.63

```
data_NpIn2GaCl6
_symmetry_space_group_name_H-M 'R 3'
_symmetry_Int_Tables_number 146
_symmetry_space_group_name_Hall 'R 3'
_cell_length_a 7.7566
_cell_length_b 7.7566
_cell_length_c 19.7275
_cell_angle_alpha 90.00
_cell_angle_beta 90.00
_cell_angle_gamma 120.00
loop_
_atom_site_label
_atom_site_fract_x
_atom_site_fract_y
_atom_site_fract_z
Np1 0.0000 0.0000 0.0000
In1 0.0000 0.0000 0.2952
In2 0.0000 0.0000 0.7914
Ga1 0.0000 0.0000 0.5064
Cl1 0.0044 0.4112 0.7391
Cl2 0.0832 0.7073 0.5765
```

=====

Which of these has the lowest density of states at the Fermi level?
NaSeF5